Entry 1:
Here is a relaxed structure of Ba3CuC from Alexandria. Energies are from PBEsol.

Unit cell a=5.5922 b=5.5922 c=5.5922 alpha=90.00 beta=90.00 gamma=90.00
Element x y z (fractional)
Ba1 0.0000 0.0000 0.5000
Ba2 0.0000 0.5000 0.0000
Ba3 0.5000 0.0000 0.0000
Cu1 0.5000 0.5000 0.5000
C1 0.0000 0.0000 0.0000

Output
* volume: 34.98 Å³/atom
* energy of formation from the pure elements: 0.6039 eV per atom
* density of states at the Fermi level: 7.273 states/eV per cell

=====

Entry 2:
Here is a relaxed structure of YTe2P2 from Alexandria. Energies are from PBEsol.

Unit cell a=3.6331 b=3.6331 c=17.9116 alpha=90.00 beta=90.00 gamma=90.00
Element x y z (fractional)
Y1 0.0000 0.0000 0.0000
Y2 0.5000 0.5000 0.5000
Te1 0.0000 0.0000 0.4052
Te2 0.0000 0.0000 0.5948
Te3 0.5000 0.5000 0.0948
Te4 0.5000 0.5000 0.9052
P1 0.0000 0.5000 0.2500
P2 0.0000 0.5000 0.7500
P3 0.5000 0.0000 0.2500
P4 0.5000 0.0000 0.7500

Output
* volume: 23.64 Å³/atom
* uncorrected energy: -5.325 eV per atom
* density of states at the Fermi level: 5.874 states/eV per cell

=====

Entry 3:
Here is a relaxed structure of RhIO3 from Alexandria. Energies are from PBEsol.

Unit cell a=4.0890 b=4.0890 c=4.0890 alpha=90.00 beta=90.00 gamma=90.00
Element x y z (fractional)
Rh1 0.0000 0.0000 0.0000
I1 0.5000 0.5000 0.5000
O1 0.0000 0.5000 0.5000
O2 0.5000 0.0000 0.5000
O3 0.5000 0.5000 0.0000

Output
* volume: 13.67 Å³/atom
* uncorrected energy: -4.521 eV per atom
* density of states at the Fermi level: 6.435 states/eV per cell

=====

Entry 4:
Here is a relaxed structure of BaYFe from Alexandria. Energies are from PBEsol.

Unit cell a=6.9613 b=6.9613 c=6.9613 alpha=90.00 beta=90.00 gamma=90.00
Element x y z (fractional)
Ba1 0.0000 0.0000 0.0000
Ba2 0.0000 0.5000 0.5000
Ba3 0.5000 0.0000 0.5000
Ba4 0.5000 0.5000 0.0000
Y1 0.2500 0.2500 0.2500
Y2 0.2500 0.7500 0.7500
Y3 0.7500 0.2500 0.7500
Y4 0.7500 0.7500 0.2500
Fe1 0.0000 0.0000 0.5000
Fe2 0.0000 0.5000 0.0000
Fe3 0.5000 0.0000 0.0000
Fe4 0.5000 0.5000 0.5000

Output
* volume: 28.11 Å³/atom
* energy of formation from the pure elements: 1.1492 eV per atom
* density of states at the Fermi level: 23.745 states/eV per cell

=====

Entry 5:
Here is a relaxed structure of LaHf2Au2 from Alexandria. Energies are from PBEsol.

Unit cell a=4.5466 b=4.5466 c=11.4285 alpha=90.00 beta=90.00 gamma=90.00
Element x y z (fractional)
La1 0.0000 0.0000 0.0000
La2 0.5000 0.5000 0.5000
Hf1 0.0000 0.5000 0.2500
Hf2 0.0000 0.5000 0.7500
Hf3 0.5000 0.0000 0.2500
Hf4 0.5000 0.0000 0.7500
Au1 0.0000 0.0000 0.3829
Au2 0.0000 0.0000 0.6171
Au3 0.5000 0.5000 0.1171
Au4 0.5000 0.5000 0.8829

Output
* volume: 23.62 Å³/atom
* energy of formation from the pure elements: -0.3579 eV per atom
* density of states at the Fermi level: 11.783 states/eV per cell

=====

Entry 6:
Here is a relaxed structure of La2AlIn from Alexandria. Energies are from PBEsol.

Unit cell a=3.5569 b=4.3520 c=7.1094 alpha=90.00 beta=90.00 gamma=90.00
Element x y z (fractional)
La1 0.0000 0.0000 0.2370
La2 0.0000 0.0000 0.7630
Al1 0.5000 0.5000 0.0000
In1 0.5000 0.5000 0.5000

Output
* volume: 27.51 Å³/atom
* energy of formation from the pure elements: -0.4223 eV per atom
* density of states at the Fermi level: 2.910 states/eV per cell

=====

Entry 7:
Here is a relaxed structure of KTlSi2 from Alexandria. Energies are from PBEsol.

Unit cell a=3.8093 b=3.8093 c=7.0924 alpha=90.00 beta=90.00 gamma=90.00
Element x y z (fractional)
K1 0.0000 0.0000 0.0000
Tl1 0.0000 0.0000 0.5000
Si1 0.5000 0.5000 0.3342
Si2 0.5000 0.5000 0.6658

Output
* volume: 25.73 Å³/atom
* uncorrected energy: -3.534 eV per atom
* density of states at the Fermi level: 0.878 states/eV per cell

=====

Entry 8:
Here is a relaxed structure of Sr2MgAs from Alexandria. Energies are from PBEsol.

Unit cell a=4.6224 b=4.6224 c=11.1223 alpha=90.00 beta=90.00 gamma=90.00
Element x y z (fractional)
Sr1 0.0000 0.0000 0.0000
Sr2 0.0000 0.5000 0.2500
Sr3 0.5000 0.0000 0.7500
Sr4 0.5000 0.5000 0.5000
Mg1 0.0000 0.5000 0.7500
Mg2 0.5000 0.0000 0.2500
As1 0.0000 0.0000 0.5000
As2 0.5000 0.5000 0.0000

Output
* volume: 29.71 Å³/atom
* energy of formation from the pure elements: -0.3524 eV per atom
* density of states at the Fermi level: 7.745 states/eV per cell

=====

Entry 9:
Here is a relaxed structure of NaSeBrN2 from Alexandria. Energies are from PBEsol.

Unit cell a=4.3909 b=4.3909 c=5.6787 alpha=90.00 beta=90.00 gamma=90.00
Element x y z (fractional)
Na1 0.0000 0.0000 0.0000
Se1 0.0000 0.0000 0.5000
Br1 0.5000 0.5000 0.5000
N1 0.0000 0.5000 0.0000
N2 0.5000 0.0000 0.0000

Output
* volume: 21.90 Å³/atom
* uncorrected energy: -2.921 eV per atom
* density of states at the Fermi level: 2.203 states/eV per cell

=====

Entry 10:
Here is a relaxed structure of TlIn2FeTc from Alexandria. Energies are from PBEsol.

Unit cell a=5.3213 b=5.3213 c=4.8751 alpha=90.00 beta=90.00 gamma=90.00
Element x y z (fractional)
Tl1 0.0000 0.0000 0.0000
In1 0.0000 0.5000 0.0000
In2 0.5000 0.0000 0.0000
Fe1 0.0000 0.0000 0.5000
Tc1 0.5000 0.5000 0.5000

Output
* volume: 27.61 Å³/atom
* energy of formation from the pure elements: 1.8772 eV per atom
* density of states at the Fermi level: 5.451 states/eV per cell

=====

Entry 11:
Here is a relaxed structure of SrScCl2 from Alexandria. Energies are from PBEsol.

Unit cell a=3.7082 b=3.7082 c=26.9284 alpha=90.00 beta=90.00 gamma=120.00
Element x y z (fractional)
Sr1 0.0000 0.0000 0.0000
Sr2 0.3333 0.6667 0.6667
Sr3 0.6667 0.3333 0.3333
Sc1 0.0000 0.0000 0.5000
Sc2 0.3333 0.6667 0.1667
Sc3 0.6667 0.3333 0.8333
Cl1 0.0000 0.0000 0.4068
Cl2 0.0000 0.0000 0.5932
Cl3 0.3333 0.6667 0.0735
Cl4 0.3333 0.6667 0.2598
Cl5 0.6667 0.3333 0.7402
Cl6 0.6667 0.3333 0.9265

Output
* volume: 26.72 Å³/atom
* uncorrected energy: -4.398 eV per atom
* density of states at the Fermi level: 10.579 states/eV per cell

=====

Entry 12:
Here is a relaxed structure of In2CoWSe from Alexandria. Energies are from PBEsol.

Unit cell a=5.3004 b=5.3004 c=4.3848 alpha=90.00 beta=90.00 gamma=90.00
Element x y z (fractional)
In1 0.0000 0.5000 0.0000
In2 0.5000 0.0000 0.0000
Co1 0.0000 0.0000 0.5000
W1 0.0000 0.0000 0.0000
Se1 0.5000 0.5000 0.5000

Output
* volume: 24.64 Å³/atom
* uncorrected energy: -5.049 eV per atom
* density of states at the Fermi level: 6.837 states/eV per cell